A relaxed structure of La2GaAgAu6, computed with GGA-PBE.

DFT formation energy: -437 kJ/mol of formula units

a b c (Å): 5.475 6.883 7.288
angles (deg): 81.86 68.03 66.75
Space group P-1 (No. 2)
Asymmetric unit:
La  0.025  0.236  0.211
Ga  0.500  0.000  0.500
Ag  0.500  0.500  0.000
Au  0.012  0.213  0.766
Au  0.337  0.415  0.410
Au  0.488  0.789  0.235